1.
A plane-wave DFT calculation with GGA-PBE was carried out for a relaxed CsSeF2 crystal.

The spin magnetization comes out at 0.0 Bohr magnetons per cell.

The space group is I-42d (No. 122) and the conventional cell measures 5.253, 5.253 and 14.735 Å, with angles of 90.00, 90.00 and 90.00 degrees. The asymmetric unit holds Cs at (0.000, 0.000, 0.000), Se at (0.000, 0.000, 0.500) and F at (0.094, 0.250, 0.625).

---

2.
A plane-wave DFT calculation with GGA-PBE was carried out for a relaxed CsSe2F8 crystal.

The spin magnetization comes out at 1.0 Bohr magnetons per cell.

The space group is P-1 (No. 2) and the conventional cell measures 5.313, 5.664 and 7.395 Å, with angles of 78.80, 78.80 and 89.74 degrees. The asymmetric unit holds Cs at (0.000, 0.000, 0.000), Se at (0.496, 0.322, 0.376), F at (0.230, 0.143, 0.553), F at (0.259, 0.518, 0.301), F at (0.266, 0.500, 0.821) and F at (0.428, 0.139, 0.205).

---

3.
A plane-wave DFT calculation with GGA-PBE was carried out for a relaxed Cs4SeF2 crystal.

The spin magnetization comes out at 0.4 Bohr magnetons per cell.

The space group is I4_1/amd (No. 141, origin choice 2) and the conventional cell measures 10.451, 10.451 and 9.997 Å, with angles of 90.00, 90.00 and 90.00 degrees. The asymmetric unit holds Cs at (0.000, 0.069, 0.211), Se at (0.000, 0.250, 0.875) and F at (0.000, 0.000, 0.500).

---

Looking at E_form (uncorrected) for the records above, in order, we have -1.312 -1.834 -1.921 eV/atom.